Below is a relaxed structure of SbHSN2, with properties calculated at the PBE level.

Cell lengths 4.1819, 4.1819, 3.1101 Å; angles 90.00, 90.00, 90.00 degrees
Positions (direct):
Sb  0.5000  0.5000  0.5000
S  0.0000  0.0000  0.5000
H  0.0000  0.0000  0.0000
N  0.0000  0.5000  0.0000
N  0.5000  0.0000  0.0000

Summary:
For the total magnetization, the calculation gives 0.5 μB/f.u. As for the polymorph energy (0 for the lowest one): 0.000 eV/atom. Its space-group type is P4/mmm, No. 123. The value obtained for the total energy is -3.921 eV per atom.